# ZnNi3H

A relaxed structure of ZnNi3H (GGA-PBE, the Alexandria database).

a = 6.3856 Å, b = 6.3856 Å, c = 5.0637 Å
α = 101.14°, β = 101.14°, γ = 81.42°
Fractional coordinates of all 20 atoms:
1 Zn 0.0019 0.9981 0.7500
2 Zn 0.4358 0.5642 0.2500
3 Zn 0.5642 0.4358 0.7500
4 Zn 0.9981 0.0019 0.2500
5 Ni 0.0831 0.6465 0.9327
6 Ni 0.0835 0.6457 0.4276
7 Ni 0.2697 0.2726 0.8899
8 Ni 0.2726 0.2697 0.3899
9 Ni 0.3543 0.9165 0.0724
10 Ni 0.3535 0.9169 0.5673
11 Ni 0.6465 0.0831 0.4327
12 Ni 0.6457 0.0835 0.9276
13 Ni 0.7274 0.7303 0.6101
14 Ni 0.7303 0.7274 0.1101
15 Ni 0.9165 0.3543 0.5724
16 Ni 0.9169 0.3535 0.0673
17 H 0.1735 0.4558 0.6591
18 H 0.4558 0.1735 0.1591
19 H 0.5442 0.8265 0.8409
20 H 0.8265 0.5442 0.3409

Values from the calculation:
The mass density is 8.159 g cm⁻³. Its offset from the most stable computed form is 104.8 meV/atom.